Below is a relaxed Sb8IrPt2 crystal, with properties calculated at the GGA-PBE level.

Summary:
**Energy relative to the elements, uncorrected**: -0.124 eV per atom

a = 5.4608 Å, b = 8.8393 Å, c = 7.8128 Å
α = 126.20°, β = 90.63°, γ = 89.47°
Closest atoms and distances in Å follow each position.
Fractional coordinates of all 11 atoms:
Pt 0.2434 0.3725 0.7479  6 Sb 2.64-2.83
Pt 0.7566 0.6275 0.2521  6 Sb 2.64-2.83
Sb 0.7558 0.4272 0.8169  3 Pt 2.70-2.83
Sb 0.6940 0.8381 0.6671  1 Pt 2.64, 1 Ir 2.68
Sb 0.2986 0.1371 0.8561  1 Ir 2.66, 1 Pt 2.68, 1 Sb 2.97
Sb 0.2442 0.5728 0.1831  3 Pt 2.70-2.83
Sb 0.3060 0.1619 0.3329  1 Pt 2.64, 1 Ir 2.68
Sb 0.6949 0.2927 0.1801  1 Ir 2.67, 1 Pt 2.69, 1 Sb 2.97
Sb 0.3051 0.7073 0.8199  1 Ir 2.67, 1 Pt 2.69, 1 Sb 2.97
Sb 0.7014 0.8629 0.1438  1 Ir 2.66, 1 Pt 2.68, 1 Sb 2.97
Ir 0.0000 0.0000 0.0000  6 Sb 2.66-2.68

=====

Below is a relaxed SbIr2Pt crystal, with properties calculated at the GGA-PBE level.

Summary:
**Energy relative to the elements, uncorrected**: 0.303 eV per atom

a = 3.0098 Å, b = 3.0098 Å, c = 7.3052 Å
α = 90.00°, β = 90.00°, γ = 90.00°
Closest atoms and distances in Å follow each position.
Fractional coordinates of all 4 atoms:
Sb 0.5000 0.5000 0.7500  8 Ir 2.79, 4 Sb 3.01
Pt 0.5000 0.5000 0.2500  8 Ir 2.82, 4 Pt 3.01
Ir 0.0000 0.0000 0.9974  4 Sb 2.79, 4 Pt 2.82, 4 Ir 3.01
Ir 0.0000 0.0000 0.5026  4 Sb 2.79, 4 Pt 2.82, 4 Ir 3.01

=====

no.,electronic total energy (eV/atom)
1,-5.026
2,-6.668